No. 1
Crystalline RbCdGeBi2 at its relaxed geometry. Source: the Alexandria database, functional PBE-GGA.

POSCAR file:
```
RbCdGeBi2
1.0
5.8573 0.0000 0.0000
0.0000 5.3916 0.0000
0.0000 0.0000 5.8573
Ge Bi Rb Cd
1 2 1 1
Direct
0.0000 0.5000 0.0000
0.5000 0.0000 0.0000
0.0000 0.0000 0.5000
0.5000 0.5000 0.5000
0.0000 0.0000 0.0000
```

## Properties
The magnetization comes out at 0.0 μB per cell. Its raw total energy is -2.55 eV/atom. For the energy relative to the elements, the calculation gives 1.53 eV per formula unit.

No. 2
Crystalline CdReGeBi2 at its relaxed geometry. Source: the Alexandria database, functional PBE-GGA.

POSCAR file:
```
CdReGeBi2
1.0
-2.6444 -4.2267 2.4234
4.1212 -2.0665 0.8929
0.2627 2.6296 4.8731
Bi Cd Re Ge
2 1 1 1
Direct
0.5000 0.0000 0.0000
0.0000 0.0000 0.5000
0.5000 0.5000 0.5000
0.0000 0.5000 0.0000
0.0000 0.0000 0.0000
```

## Properties
The magnetization comes out at 1.2 μB per cell. Its raw total energy is -4.01 eV/atom. For the energy relative to the elements, the calculation gives 5.71 eV per formula unit.

No. 3
Crystalline Sr2CdGeBi at its relaxed geometry. Source: the Alexandria database, functional PBE-GGA.

POSCAR file:
```
Sr2CdGeBi
1.0
-5.6014 -2.7789 -0.2188
2.0290 -4.1866 1.2281
-0.8997 1.3374 6.0454
Cd Sr Ge Bi
1 2 1 1
Direct
0.0000 0.0000 0.0000
0.0000 0.0000 0.5000
0.5000 0.0000 0.0000
0.0000 0.5000 0.0000
0.5000 0.5000 0.5000
```

## Properties
The magnetization comes out at 0.0 μB per cell. Its raw total energy is -2.59 eV/atom. For the energy relative to the elements, the calculation gives -0.16 eV per formula unit.

No. 4
Crystalline CdGeBiTe2 at its relaxed geometry. Source: the Alexandria database, functional PBE-GGA.

POSCAR file:
```
CdGeBiTe2
1.0
5.4064 0.0000 0.0000
0.0000 5.6568 0.0000
0.0000 0.0000 5.4064
Cd Te Bi Ge
1 2 1 1
Direct
0.5000 0.5000 0.5000
0.0000 0.0000 0.5000
0.5000 0.0000 0.0000
0.0000 0.5000 0.0000
0.0000 0.0000 0.0000
```

## Properties
The magnetization comes out at 0.0 μB per cell. Its raw total energy is -2.70 eV/atom. For the raw formation energy, the calculation gives 0.438 eV per atom.

Repeat the second record exactly.
Crystalline CdReGeBi2 at its relaxed geometry. Source: the Alexandria database, functional PBE-GGA.

POSCAR file:
```
CdReGeBi2
1.0
-2.6444 -4.2267 2.4234
4.1212 -2.0665 0.8929
0.2627 2.6296 4.8731
Bi Cd Re Ge
2 1 1 1
Direct
0.5000 0.0000 0.0000
0.0000 0.0000 0.5000
0.5000 0.5000 0.5000
0.0000 0.5000 0.0000
0.0000 0.0000 0.0000
```

## Properties
The magnetization comes out at 1.2 μB per cell. Its raw total energy is -4.01 eV/atom. For the energy relative to the elements, the calculation gives 5.71 eV per formula unit.